Record 1
GaTcAuSe2: relaxed, PBE-GGA.

```
5
Lattice="5.256 0.000 0.000 0.000 5.256 0.000 0.000 0.000 4.747" Properties=species:S:1:pos:R:3 pbc="T T T"
Ga 0.000 0.000 0.000
Tc 2.628 2.628 0.000
Au 0.000 0.000 2.374
Se 0.000 2.628 2.374
Se 2.628 0.000 2.374
```

Calculated values
Magnetization = 4.56 μB per cell
Symmetry = No. 123
ΔE_f (raw) = 0.985 eV per atom

Record 2
GaTeAuSe: relaxed, PBE-GGA.

```
4
Lattice="3.422 -1.978 0.000 3.422 1.978 0.000 -0.008 0.000 7.943" Properties=species:S:1:pos:R:3 pbc="T T T"
Ga 0.000 0.000 0.000
Te 2.277 0.000 3.987
Au -0.006 0.000 5.449
Se 4.562 0.000 1.171
```

Calculated values
Magnetization = 0.00 μB per cell
Symmetry = No. 8
ΔE_f (raw) = -0.133 eV per atom

Repeat the second record exactly.
GaTeAuSe: relaxed, PBE-GGA.

```
4
Lattice="3.422 -1.978 0.000 3.422 1.978 0.000 -0.008 0.000 7.943" Properties=species:S:1:pos:R:3 pbc="T T T"
Ga 0.000 0.000 0.000
Te 2.277 0.000 3.987
Au -0.006 0.000 5.449
Se 4.562 0.000 1.171
```

Calculated values
Magnetization = 0.00 μB per cell
Symmetry = No. 8
ΔE_f (raw) = -0.133 eV per atom